#1
## HoTaOsRu (PBE-GGA)

Data for a relaxed structure of HoTaOsRu.

Computed properties:
Fermi-level density of states, states/eV/cell: 6.66

a b c (Å): 6.5380 6.5380 6.5380
angles (deg): 90.00 90.00 90.00
Closest atoms and distances in Å follow each position.
Space group F-43m (No. 216)
Symmetry-distinct sites (fractional):
Ho (0.0000, 0.0000, 0.0000)  4 Ru 2.83, 4 Os 2.83
Ta (0.0000, 0.0000, 0.5000)  4 Os 2.83, 4 Ru 2.83
Os (0.2500, 0.2500, 0.7500)  4 Ta 2.83, 4 Ho 2.83
Ru (0.2500, 0.2500, 0.2500)  4 Ta 2.83, 4 Ho 2.83

#2
## HoTaOsRu (PBE-GGA)

Data for a relaxed structure of HoTaOsRu.

Computed properties:
Fermi-level density of states, states/eV/cell: 1.84

a b c (Å): 3.2100 3.2100 6.8918
angles (deg): 90.00 90.00 90.00
Closest atoms and distances in Å follow each position.
Space group P4mm (No. 99)
Symmetry-distinct sites (fractional):
Ho (0.0000, 0.0000, 0.0000)  4 Ru 2.97, 4 Os 2.98, 4 Ho 3.21
Ta (0.0000, 0.0000, 0.4989)  4 Os 2.73, 4 Ru 2.73
Os (0.5000, 0.5000, 0.7194)  4 Ta 2.73, 4 Ho 2.98, 1 Ru 3.04
Ru (0.5000, 0.5000, 0.2781)  4 Ta 2.73, 4 Ho 2.97, 1 Os 3.04

How far above the most stable structure does each one sit? In meV/atom: #1 65; #2 0.

#1
## HoScOs (PBE-GGA)

Data for a relaxed structure of HoScOs.

Computed properties:
Fermi-level density of states, states/eV/cell: 33.55

a b c (Å): 11.6517 11.6517 11.1467
angles (deg): 90.00 90.00 120.00
Closest atoms and distances in Å follow each position.
Space group R-3 (No. 148, hexagonal axes)
Symmetry-distinct sites (fractional):
Ho (0.0419, 0.8434, 0.3788)  2 Os 2.71-2.72
Sc (0.0356, 0.8204, 0.8950)  4 Os 2.62-2.85
Os (0.0518, 0.7830, 0.1459)  4 Sc 2.62-2.85, 2 Ho 2.71-2.72

#2
## HoScOs (PBE-GGA)

Data for a relaxed structure of HoScOs.

Computed properties:
Fermi-level density of states, states/eV/cell: 3.07

a b c (Å): 3.3007 3.3007 12.3858
angles (deg): 90.00 90.00 90.00
Closest atoms and distances in Å follow each position.
Space group I4mm (No. 107)
Symmetry-distinct sites (fractional):
Ho (0.0000, 0.0000, 0.0000)  4 Os 2.90, 1 Sc 3.19
Sc (0.0000, 0.0000, 0.2576)  4 Os 2.76
Os (0.0000, 0.0000, 0.6390)  4 Sc 2.76, 4 Ho 2.90

#3
## HoScOs (PBE-GGA)

Data for a relaxed structure of HoScOs.

Computed properties:
Fermi-level density of states, states/eV/cell: 3.65

a b c (Å): 6.5477 6.5477 6.5477
angles (deg): 90.00 90.00 90.00
Closest atoms and distances in Å follow each position.
Space group F-43m (No. 216)
Symmetry-distinct sites (fractional):
Ho (0.0000, 0.0000, 0.0000)  4 Os 2.84
Sc (0.0000, 0.0000, 0.5000)  4 Os 2.84
Os (0.2500, 0.2500, 0.7500)  4 Ho 2.84, 4 Sc 2.84

How far above the most stable structure does each one sit? In meV/atom: #1 256; #2 0; #3 76.

#1
## Ho2ScOs (PBE-GGA)

Data for a relaxed structure of Ho2ScOs.

Computed properties:
Fermi-level density of states, states/eV/cell: 10.30

a b c (Å): 7.1526 8.8890 6.2100
angles (deg): 90.00 90.00 90.00
Closest atoms and distances in Å follow each position.
Space group Pnma (No. 62)
Symmetry-distinct sites (fractional):
Ho (0.1770, 0.0608, 0.1734)  3 Os 2.87-3.04
Sc (0.0415, 0.2500, 0.6296)  2 Os 2.60-2.67
Os (0.1183, 0.7500, 0.9818)  2 Sc 2.60-2.67, 2 Ho 2.87

#2
## Ho2ScOs (PBE-GGA)

Data for a relaxed structure of Ho2ScOs.

Computed properties:
Fermi-level density of states, states/eV/cell: 16.50

a b c (Å): 3.3094 3.3094 31.5926
angles (deg): 90.00 90.00 120.00
Closest atoms and distances in Å follow each position.
Space group R-3m (No. 166, hexagonal axes)
Symmetry-distinct sites (fractional):
Ho (0.0000, 0.0000, 0.1009)  3 Os 2.82
Sc (0.0000, 0.0000, 0.0000)  2 Ho 3.19, 6 Sc 3.31
Os (0.0000, 0.0000, 0.5000)  6 Ho 2.82

How far above the most stable structure does each one sit? In meV/atom: #1 0; #2 572.